No. 1
The following is a DFT calculation (PBE-GGA) of crystalline LaDyTm at its relaxed geometry.

Values from the calculation:
The value obtained for the excess energy over the best structure of this formula in the dataset is 1.0 meV/atom. As for the density of states at the Fermi level: 10.2 states/eV per cell.

a b c (Å): 3.555 5.469 10.318
angles (deg): 90.00 99.92 90.00
Fractional coordinates of all 6 atoms:
Dy1 0.960 0.847 0.921
Dy2 0.040 0.347 0.079
Tm1 0.612 0.847 0.224
Tm2 0.388 0.347 0.776
La1 0.795 0.847 0.590
La2 0.205 0.347 0.410

=====

No. 2
The following is a DFT calculation (PBE-GGA) of crystalline LaDy5Tm3 at its relaxed geometry.

Values from the calculation:
The value obtained for the excess energy over the best structure of this formula in the dataset is 0.0 meV/atom. As for the density of states at the Fermi level: 27.9 states/eV per cell.

a b c (Å): 6.040 10.017 11.083
angles (deg): 111.28 90.00 107.55
Fractional coordinates of all 18 atoms:
Dy1 0.909 0.331 0.197
Dy2 0.632 0.000 0.250
Dy3 0.901 0.337 0.529
Dy4 0.565 0.663 0.971
Dy5 0.091 0.669 0.803
Dy6 0.435 0.337 0.029
Dy7 0.578 0.669 0.303
Dy8 0.422 0.331 0.697
Dy9 0.368 0.000 0.750
Dy10 0.099 0.663 0.471
Tm1 0.951 0.353 0.866
Tm2 0.000 0.000 0.500
Tm3 0.598 0.647 0.634
Tm4 0.402 0.353 0.366
Tm5 0.049 0.647 0.134
Tm6 0.000 0.000 0.000
La1 0.152 0.000 0.250
La2 0.848 0.000 0.750

=====

No. 3
The following is a DFT calculation (PBE-GGA) of crystalline La8Dy3Tm2 at its relaxed geometry.

Values from the calculation:
The value obtained for the excess energy over the best structure of this formula in the dataset is 37.7 meV/atom. As for the density of states at the Fermi level: 17.0 states/eV per cell.

a b c (Å): 5.844 7.767 10.931
angles (deg): 110.81 90.03 90.00
Fractional coordinates of all 13 atoms:
La1 0.500 0.194 0.788
La2 0.999 0.324 0.649
La3 0.001 0.869 0.739
La4 0.001 0.676 0.351
La5 0.500 0.406 0.212
La6 0.500 0.594 0.788
La7 0.999 0.131 0.261
La8 0.500 0.806 0.212
Dy1 0.000 0.284 0.000
Dy2 0.500 0.000 0.000
Dy3 0.000 0.716 0.000
Tm1 0.499 0.239 0.479
Tm2 0.501 0.761 0.521

=====

| no. | calculated volume (A^3/atom) |
| --- | --- |
| 1 | 32.9 |
| 2 | 32.8 |
| 3 | 35.7 |